1.
This record from Alexandria via LeMat-Bulk describes crystalline NdAlSO2 at its relaxed geometry. The functional is PBE.

* calculated total energy: -7.193 eV/atom

Structure (CIF):
```
data_NdAlSO2
_chemical_formula_sum 'Nd1 Al1 S1 O2'
_space_group_name_H-M_alt 'P 4 m m'
_space_group_IT_number 99
_space_group_name_Hall 'P 4 -2'
_cell_length_a 3.752
_cell_length_b 3.752
_cell_length_c 5.589
_cell_angle_alpha 90.00
_cell_angle_beta 90.00
_cell_angle_gamma 90.00
loop_
_atom_site_label
_atom_site_type_symbol
_atom_site_fract_x
_atom_site_fract_y
_atom_site_fract_z
Nd1 Nd 0.000 0.000 0.000
Al1 Al 0.500 0.500 0.354
S1 S 0.500 0.500 0.765
O1 O 0.000 0.500 0.263
```



2.
This record from Alexandria via LeMat-Bulk describes crystalline NdAl2SbO8 at its relaxed geometry. The functional is PBE.

* calculated total energy: -6.666 eV/atom

Structure (CIF):
```
data_NdAl2SbO8
_chemical_formula_sum 'Nd2 Al4 Sb2 O16'
_space_group_name_H-M_alt 'I -4 m 2'
_space_group_IT_number 119
_space_group_name_Hall 'I -4 -2'
_cell_length_a 6.770
_cell_length_b 6.770
_cell_length_c 6.609
_cell_angle_alpha 90.00
_cell_angle_beta 90.00
_cell_angle_gamma 90.00
loop_
_atom_site_label
_atom_site_type_symbol
_atom_site_fract_x
_atom_site_fract_y
_atom_site_fract_z
Nd1 Nd 0.000 0.000 0.000
Al1 Al 0.000 0.000 0.500
Al2 Al 0.000 0.500 0.250
Sb1 Sb 0.000 0.500 0.750
O1 O 0.000 0.199 0.682
O2 O 0.000 0.335 0.047
```